{"formula": "Na2SrAs2Pb", "functional": "PBE", "state": "optimized geometry", "crystal_system": "orthorhombic", "ef_mev_per_atom": -542, "lattice_angstrom": [[-2.132, 1.177, 3.897], [3.507, -5.954, 3.716], [7.193, 5.631, 2.234]], "species": ["Na", "Na", "Na", "Na", "Sr", "Sr", "As", "As", "As", "As", "Pb", "Pb"], "fractional_positions": [[0.500, 0.044, 0.077], [0.000, 0.361, 0.171], [0.500, 0.544, 0.923], [0.000, 0.861, 0.829], [0.000, 0.977, 0.424], [0.000, 0.477, 0.576], [0.000, 0.258, 0.870], [0.500, 0.265, 0.373], [0.000, 0.758, 0.130], [0.500, 0.765, 0.627], [0.500, 0.143, 0.700], [0.500, 0.643, 0.300]]}